No. 1
## Cr2FeIr (SCAN)

Data for a PBEsol-optimized structure of Cr2FeIr.

Values from the calculation:
calculated formation energy = -0.11 eV/atom
excess energy over the best structure of this formula in the dataset = 0 meV per atom
N(E_F) = 3.79 states/eV per cell
space group = No. 123

a = 3.6003 Å, b = 3.6003 Å, c = 3.6205 Å
α = 90.00°, β = 90.00°, γ = 90.00°
Last column: nearest neighbours and their distance in Å.
Element x y z (fractional)
1 Cr 0.0000 0.5000 0.0000  4 Cr 2.55, 4 Fe 2.55, 4 Ir 2.55
2 Cr 0.5000 0.0000 0.0000  4 Cr 2.55, 4 Fe 2.55, 4 Ir 2.55
3 Ir 0.0000 0.0000 0.5000  4 Fe 2.55, 8 Cr 2.55
4 Fe 0.5000 0.5000 0.5000  4 Ir 2.55, 8 Cr 2.55

---

No. 2
## CrFeIr2 (SCAN)

Data for a PBEsol-optimized structure of CrFeIr2.

Values from the calculation:
calculated formation energy = -0.15 eV/atom
N(E_F) = 3.95 states/eV per cell
space group = No. 119

a = 3.6650 Å, b = 3.6650 Å, c = 4.5444 Å
α = 113.78°, β = 113.78°, γ = 90.00°
Last column: nearest neighbours and their distance in Å.
Element x y z (fractional)
1 Cr 0.5000 0.5000 0.0000  8 Ir 2.59-2.62, 4 Fe 2.62
2 Ir 0.0000 0.0000 0.0000  4 Cr 2.59, 4 Fe 2.62, 4 Ir 2.62
3 Ir 0.7500 0.2500 0.5000  4 Fe 2.59, 4 Cr 2.62, 4 Ir 2.62
4 Fe 0.2500 0.7500 0.5000  8 Ir 2.59-2.62, 4 Cr 2.62

---

No. 3
## Cr2FeIr (SCAN)

Data for a PBEsol-optimized structure of Cr2FeIr.

Values from the calculation:
calculated formation energy = -0.09 eV/atom
excess energy over the best structure of this formula in the dataset = 13 meV per atom
N(E_F) = 3.80 states/eV per cell
space group = No. 139

a = 3.5990 Å, b = 3.5990 Å, c = 4.4232 Å
α = 114.01°, β = 114.01°, γ = 90.00°
Last column: nearest neighbours and their distance in Å.
Element x y z (fractional)
1 Cr 0.7500 0.2500 0.5000  4 Cr 2.54, 4 Fe 2.55, 4 Ir 2.55
2 Cr 0.2500 0.7500 0.5000  4 Cr 2.54, 4 Fe 2.55, 4 Ir 2.55
3 Ir 0.0000 0.0000 0.0000  4 Fe 2.54, 8 Cr 2.55
4 Fe 0.5000 0.5000 0.0000  4 Ir 2.54, 8 Cr 2.55

---

No. 4
## Cr2FeIr (SCAN)

Data for a PBEsol-optimized structure of Cr2FeIr.

Values from the calculation:
calculated formation energy = -0.02 eV/atom
excess energy over the best structure of this formula in the dataset = 86 meV per atom
N(E_F) = 3.10 states/eV per cell
space group = No. 47

a = 2.5819 Å, b = 3.5245 Å, c = 5.1244 Å
α = 90.00°, β = 90.00°, γ = 90.00°
Last column: nearest neighbours and their distance in Å.
Element x y z (fractional)
1 Cr 0.0000 0.0000 0.7743  3 Cr 2.31-2.58, 4 Fe 2.47
2 Cr 0.0000 0.0000 0.2257  3 Cr 2.31-2.58, 4 Fe 2.47
3 Ir 0.5000 0.5000 0.5000  2 Fe 2.56, 2 Ir 2.58, 8 Cr 2.60
4 Fe 0.5000 0.5000 0.0000  8 Cr 2.47, 2 Ir 2.56, 2 Fe 2.58

---

No. 5
## CrFeIr2 (SCAN)

Data for a PBEsol-optimized structure of CrFeIr2.

Values from the calculation:
calculated formation energy = -0.14 eV/atom
N(E_F) = 2.88 states/eV per cell
space group = No. 38

a = 2.6390 Å, b = 3.9387 Å, c = 4.9313 Å
α = 90.00°, β = 105.52°, γ = 90.00°
Last column: nearest neighbours and their distance in Å.
Element x y z (fractional)
1 Cr 0.8120 0.0000 0.6241  2 Fe 2.31, 7 Ir 2.55-2.58
2 Ir 0.0829 0.0000 0.1658  3 Cr 2.55-2.57, 4 Fe 2.56, 6 Ir 2.64-2.83
3 Ir 0.4198 0.5000 0.8396  3 Fe 2.52-2.59, 4 Cr 2.58, 2 Ir 2.64
4 Fe 0.6850 0.5000 0.3701  2 Cr 2.31, 5 Ir 2.52-2.56

---

No. 6
## CrFe4Ir (SCAN)

Data for a PBEsol-optimized structure of CrFe4Ir.

Values from the calculation:
calculated formation energy = -0.08 eV/atom
N(E_F) = 4.07 states/eV per cell
space group = No. 216

a = 4.5894 Å, b = 4.5894 Å, c = 4.5894 Å
α = 60.00°, β = 60.00°, γ = 60.00°
Last column: nearest neighbours and their distance in Å.
Element x y z (fractional)
1 Cr 0.0000 0.0000 0.0000  12 Fe 2.69, 4 Ir 2.81
2 Fe 0.3753 0.3753 0.3753  6 Fe 2.29-2.30
3 Fe 0.3753 0.3753 0.8742  6 Fe 2.29-2.30
4 Fe 0.8742 0.3753 0.3753  6 Fe 2.29-2.30
5 Fe 0.3753 0.8742 0.3753  6 Fe 2.29-2.30
6 Ir 0.7500 0.7500 0.7500  12 Fe 2.69, 4 Cr 2.81